(1)
{
  "formula": "ZrCr3",
  "functional": "PBE-GGA",
  "state": "relaxed",
  "e_tot_ev_per_cell": -106.1,
  "lattice": [[2.8321, 0.0000, 0.0000], [-1.4160, 2.4527, 0.0000], [0.0000, 0.0000, 25.1502]],
  "species": ["Zr", "Zr", "Zr", "Cr", "Cr", "Cr", "Cr", "Cr", "Cr", "Cr", "Cr", "Cr"],
  "fractional_positions": [[0.0000, 0.0000, 0.0000], [0.3333, 0.6667, 0.6667], [0.6667, 0.3333, 0.3333], [0.0000, 0.0000, 0.2360], [0.0000, 0.0000, 0.5000], [0.0000, 0.0000, 0.7640], [0.3333, 0.6667, 0.1667], [0.3333, 0.6667, 0.4307], [0.3333, 0.6667, 0.9026], [0.6667, 0.3333, 0.0974], [0.6667, 0.3333, 0.5693], [0.6667, 0.3333, 0.8333]]
}

---

(2)
{
  "formula": "Zr3Cr5",
  "functional": "PBE-GGA",
  "state": "relaxed",
  "e_tot_ev_per_cell": -137.8,
  "lattice": [[8.0583, 0.0000, 0.0000], [-4.0292, 6.9787, 0.0000], [0.0000, 0.0000, 4.8071]],
  "species": ["Zr", "Zr", "Zr", "Zr", "Zr", "Zr", "Cr", "Cr", "Cr", "Cr", "Cr", "Cr", "Cr", "Cr", "Cr", "Cr"],
  "fractional_positions": [[0.0000, 0.3817, 0.2500], [0.0000, 0.6183, 0.7500], [0.3817, 0.0000, 0.2500], [0.3817, 0.3817, 0.7500], [0.6183, 0.0000, 0.7500], [0.6183, 0.6183, 0.2500], [0.0000, 0.1888, 0.7500], [0.0000, 0.8112, 0.2500], [0.1888, 0.0000, 0.7500], [0.1888, 0.1888, 0.2500], [0.3333, 0.6667, 0.0000], [0.3333, 0.6667, 0.5000], [0.6667, 0.3333, 0.0000], [0.6667, 0.3333, 0.5000], [0.8112, 0.0000, 0.2500], [0.8112, 0.8112, 0.7500]]
}

---

(3)
{
  "formula": "Zr2Cr",
  "functional": "PBE-GGA",
  "state": "relaxed",
  "e_tot_ev_per_cell": -100.3,
  "lattice": [[6.3406, 0.0000, 0.0000], [0.0000, 6.3406, 0.0000], [0.0000, 0.0000, 6.3406]],
  "species": ["Zr", "Zr", "Zr", "Zr", "Zr", "Zr", "Zr", "Zr", "Cr", "Cr", "Cr", "Cr"],
  "fractional_positions": [[0.1660, 0.1660, 0.1660], [0.1660, 0.3340, 0.6660], [0.3340, 0.6660, 0.1660], [0.3340, 0.8340, 0.6660], [0.6660, 0.1660, 0.3340], [0.6660, 0.3340, 0.8340], [0.8340, 0.6660, 0.3340], [0.8340, 0.8340, 0.8340], [0.0000, 0.0000, 0.5000], [0.0000, 0.5000, 0.0000], [0.5000, 0.0000, 0.0000], [0.5000, 0.5000, 0.5000]]
}

---

(4)
{
  "formula": "ZrCr2",
  "functional": "PBE-GGA",
  "state": "relaxed",
  "e_tot_ev_per_cell": -53.8,
  "lattice": [[3.9160, 0.0000, 0.0000], [-1.9580, 3.3913, 0.0000], [0.0000, 0.0000, 7.2155]],
  "species": ["Zr", "Zr", "Cr", "Cr", "Cr", "Cr"],
  "fractional_positions": [[0.0000, 0.0000, 0.2500], [0.0000, 0.0000, 0.7500], [0.3333, 0.6667, 0.0282], [0.3333, 0.6667, 0.4718], [0.6667, 0.3333, 0.5282], [0.6667, 0.3333, 0.9718]]
}

---

| no. | DOS at the Fermi energy (states/eV/cell) | V (Å³ per cell) | spin magnetization (μB per formula unit) |
| --- | --- | --- | --- |
| 1 | 17.248 | 174.70 | 0.01 |
| 2 | 21.509 | 270.35 | 7.33 |
| 3 | 17.246 | 254.91 | 1.11 |
| 4 | 4.120 | 95.82 | 0.00 |